Record 1
# AcAlSi2S8

A geometry-optimized AcAlSi2S8 structure (PBE, Alexandria).

**ΔE_f (raw)**: -78.7 kJ per mole of atoms
**Calculated volume**: 251 Å³/cell

Lattice parameters (Å, degrees): 5.749 5.749 8.777 90.00 90.00 120.00
Atoms (fractional coordinates):
S 0.673 0.975 0.320
S 0.333 0.667 0.985
S 0.975 0.302 0.680
S 0.667 0.333 0.015
Al 0.000 0.000 0.500
S 0.302 0.327 0.320
S 0.698 0.673 0.680
Ac 0.000 0.000 0.000
Si 0.667 0.333 0.255
S 0.025 0.698 0.320
S 0.327 0.025 0.680
Si 0.333 0.667 0.745



Record 2
# CaIr

A geometry-optimized CaIr structure (PBE, Alexandria).

**Calculated formation energy**: -0.128 eV per atom
**Calculated volume**: 122 Å³/cell

Lattice parameters (Å, degrees): 5.570 5.570 8.100 71.77 71.77 30.95
Atoms (fractional coordinates):
Ir 0.078 0.078 0.373
Ca 0.345 0.345 0.745
Ca 0.346 0.346 0.349
Ca 0.043 0.043 0.968
Ir 0.728 0.728 0.112
Ir 0.627 0.627 0.621



Record 3
# AgMoPb4

A geometry-optimized AgMoPb4 structure (PBE, Alexandria).

**Calculated formation energy**: 0.888 eV per atom
**Calculated volume**: 178 Å³/cell

Lattice parameters (Å, degrees): 6.315 6.315 6.315 60.00 60.00 60.00
Site moments in Bohr magnetons follow the coordinates.
Atoms (fractional coordinates):
Pb 0.374 0.374 0.374  -0.03
Mo 0.000 0.000 0.000  3.35
Pb 0.374 0.877 0.374  -0.03
Ag 0.750 0.750 0.750  -0.01
Pb 0.374 0.374 0.877  -0.03
Pb 0.877 0.374 0.374  -0.03



Number 1: theoretical density 3.75 Mg/m³, density of states at the Fermi level 9.564 states/eV/f.u.. Number 2: theoretical density 9.47 Mg/m³, density of states at the Fermi level 1.207 states/eV/f.u.. Number 3: theoretical density 9.63 Mg/m³, density of states at the Fermi level 3.710 states/eV/f.u..